Record 1
A plane-wave DFT calculation with GGA-PBE was carried out for Al3Co2 after structural relaxation. Values from VASP.

Cell and atoms, written as Quantum ESPRESSO input:
```
&SYSTEM
  ibrav = 0, nat = 30, ntyp = 2
/
ATOMIC_SPECIES
Al 26.98 Al.upf
Co 58.93 Co.upf
CELL_PARAMETERS angstrom
9.0086 0.0000 0.0000
0.0000 9.0086 0.0000
0.0000 0.0000 4.8645
ATOMIC_POSITIONS angstrom
Al 0.0000 0.0000 0.0000
Al 0.5009 2.6011 0.0000
Al 1.6750 7.3335 1.2236
Al 1.6750 7.3335 3.6409
Al 1.9032 5.0052 2.4323
Al 2.6011 0.5009 0.0000
Al 2.8293 2.8293 1.2087
Al 2.8293 2.8293 3.6559
Al 4.0034 7.1054 2.4323
Al 4.5043 4.5043 2.4323
Al 5.0052 1.9032 2.4323
Al 6.1793 6.1793 1.2087
Al 6.1793 6.1793 3.6559
Al 6.4075 8.5076 0.0000
Al 7.1054 4.0034 2.4323
Al 7.3335 1.6750 1.2236
Al 7.3335 1.6750 3.6409
Al 8.5076 6.4075 0.0000
Co 0.3323 3.1755 2.4323
Co 0.8523 0.8523 2.4323
Co 1.3288 4.8365 0.0000
Co 3.1755 0.3323 2.4323
Co 3.6520 5.3566 0.0000
Co 4.1720 7.6798 0.0000
Co 4.8365 1.3288 0.0000
Co 5.3566 3.6520 0.0000
Co 5.8331 8.6763 2.4323
Co 7.6798 4.1720 0.0000
Co 8.1563 8.1563 2.4323
Co 8.6763 5.8331 2.4323
```

Output
* space-group type: P4_2/mnm, No. 136
* VASP energy: -5.125 eV per atom


Record 2
A plane-wave DFT calculation with GGA-PBE was carried out for AlCo after structural relaxation. Values from VASP.

Cell and atoms, written as Quantum ESPRESSO input:
```
&SYSTEM
  ibrav = 0, nat = 24, ntyp = 2
/
ATOMIC_SPECIES
Al 26.98 Al.upf
Co 58.93 Co.upf
CELL_PARAMETERS angstrom
4.9475 0.0000 0.0000
-2.4737 4.2846 0.0000
0.0000 0.0000 14.3422
ATOMIC_POSITIONS angstrom
Al -1.2369 2.1423 0.0000
Al -1.2369 2.1423 7.1711
Al 0.0000 1.3952 3.5855
Al -1.2654 3.5870 3.5855
Al 1.2083 0.6976 10.7566
Al 2.4737 0.0000 0.0000
Al 2.4737 0.0000 7.1711
Al 1.2369 2.1423 0.0000
Al 1.2369 2.1423 7.1711
Al 1.2654 3.5870 3.5855
Al 3.7392 0.6976 10.7566
Al 2.4737 2.8894 10.7566
Co 0.0000 0.0000 1.4403
Co 0.0000 0.0000 5.7308
Co 0.0000 0.0000 8.6113
Co 0.0000 0.0000 12.9019
Co 0.0000 2.8564 1.7964
Co 0.0000 2.8564 5.3746
Co 0.0000 2.8564 9.3593
Co 0.0000 2.8564 12.1540
Co 2.4737 1.4282 2.1882
Co 2.4737 1.4282 4.9829
Co 2.4737 1.4282 8.9675
Co 2.4737 1.4282 12.5457
```

Output
* space-group type: P6_3/mmc, No. 194
* VASP energy: -5.498 eV per atom


Record 3
A plane-wave DFT calculation with GGA-PBE was carried out for Al5Co24 after structural relaxation. Values from VASP.

Cell and atoms, written as Quantum ESPRESSO input:
```
&SYSTEM
  ibrav = 0, nat = 29, ntyp = 2
/
ATOMIC_SPECIES
Al 26.98 Al.upf
Co 58.93 Co.upf
CELL_PARAMETERS angstrom
-4.3219 4.3219 4.3219
4.3219 -4.3219 4.3219
4.3219 4.3219 -4.3219
ATOMIC_POSITIONS angstrom
Al 0.0000 0.0000 0.0000
Al 2.7186 2.7186 -2.7186
Al 2.7186 -2.7186 2.7186
Al 1.6033 1.6033 1.6033
Al -2.7186 2.7186 2.7186
Co 2.4428 0.7860 -0.7860
Co 2.4428 -0.7860 0.7860
Co 4.6363 1.2314 -1.2314
Co 4.6363 -1.2314 1.2314
Co 6.2011 0.7860 0.7860
Co 0.7860 2.4428 -0.7860
Co 0.7860 -0.7860 2.4428
Co 4.0076 1.2314 1.2314
Co 3.0905 3.0905 -0.3143
Co 3.0905 -0.3143 3.0905
Co -0.7860 2.4428 0.7860
Co -0.7860 0.7860 2.4428
Co 1.2314 4.6363 -1.2314
Co 1.2314 -1.2314 4.6363
Co 1.2314 4.0076 1.2314
Co 1.2314 1.2314 4.0076
Co 3.5359 3.5359 1.8791
Co 3.5359 1.8791 3.5359
Co -1.2314 4.6363 1.2314
Co -1.2314 1.2314 4.6363
Co -0.3143 3.0905 3.0905
Co 0.7860 6.2011 0.7860
Co 0.7860 0.7860 6.2011
Co 1.8791 3.5359 3.5359
```

Output
* space-group type: I-43m, No. 217
* VASP energy: -6.648 eV per atom


Record 4
A plane-wave DFT calculation with GGA-PBE was carried out for Al4Co3 after structural relaxation. Values from VASP.

Cell and atoms, written as Quantum ESPRESSO input:
```
&SYSTEM
  ibrav = 0, nat = 7, ntyp = 2
/
ATOMIC_SPECIES
Al 26.98 Al.upf
Co 58.93 Co.upf
CELL_PARAMETERS angstrom
2.0127 1.1620 6.0611
-2.0127 1.1620 6.0611
0.0000 -2.3241 6.0611
ATOMIC_POSITIONS angstrom
Al 0.0000 0.0000 2.4154
Al 0.0000 0.0000 5.2823
Al 0.0000 0.0000 12.9010
Al 0.0000 0.0000 15.7679
Co 0.0000 0.0000 0.0000
Co 0.0000 0.0000 7.7512
Co 0.0000 0.0000 10.4321
```

Output
* space-group type: R-3m, No. 166
* VASP energy: -5.664 eV per atom


Record 5
A plane-wave DFT calculation with GGA-PBE was carried out for Al4Co9 after structural relaxation. Values from VASP.

Cell and atoms, written as Quantum ESPRESSO input:
```
&SYSTEM
  ibrav = 0, nat = 13, ntyp = 2
/
ATOMIC_SPECIES
Al 26.98 Al.upf
Co 58.93 Co.upf
CELL_PARAMETERS angstrom
2.3550 1.3597 8.0227
-2.3550 1.3597 8.0227
0.0000 -2.7193 8.0227
ATOMIC_POSITIONS angstrom
Al 0.0000 0.0000 3.5927
Al 0.0000 0.0000 8.0553
Al 0.0000 0.0000 16.0129
Al 0.0000 0.0000 20.4755
Co 0.0000 0.0000 1.1084
Co -1.1962 -0.6906 10.1367
Co 0.0000 -1.3812 13.9314
Co -1.1962 0.6906 13.9314
Co 0.0000 0.0000 12.0341
Co 1.1962 -0.6906 10.1367
Co 0.0000 1.3812 10.1367
Co 1.1962 0.6906 13.9315
Co 0.0000 0.0000 22.9597
```

Output
* space-group type: R-3m, No. 166
* VASP energy: -6.250 eV per atom


Record 6
A plane-wave DFT calculation with GGA-PBE was carried out for Al2Co after structural relaxation. Values from VASP.

Cell and atoms, written as Quantum ESPRESSO input:
```
&SYSTEM
  ibrav = 0, nat = 6, ntyp = 2
/
ATOMIC_SPECIES
Al 26.98 Al.upf
Co 58.93 Co.upf
CELL_PARAMETERS angstrom
5.9771 0.0000 0.0000
0.0000 5.9771 0.0000
0.0000 0.0000 2.7185
ATOMIC_POSITIONS angstrom
Al 1.3522 1.3522 0.0000
Al 1.6364 4.3407 1.3593
Al 4.3407 1.6364 1.3593
Al 4.6249 4.6249 0.0000
Co 0.0000 0.0000 1.3593
Co 2.9885 2.9885 0.0000
```

Output
* space-group type: P4_2/mnm, No. 136
* VASP energy: -4.972 eV per atom


Record 7
A plane-wave DFT calculation with GGA-PBE was carried out for AlCo8 after structural relaxation. Values from VASP.

Cell and atoms, written as Quantum ESPRESSO input:
```
&SYSTEM
  ibrav = 0, nat = 9, ntyp = 2
/
ATOMIC_SPECIES
Al 26.98 Al.upf
Co 58.93 Co.upf
CELL_PARAMETERS angstrom
7.7487 0.0000 0.0000
-3.8744 6.7106 0.0000
0.0000 0.0000 2.4102
ATOMIC_POSITIONS angstrom
Al 0.0000 0.0000 0.0000
Co 0.0000 2.2784 1.2051
Co -1.9012 5.5714 1.2051
Co 0.0000 4.4737 1.2051
Co 1.9732 1.1392 1.2051
Co 1.9012 5.5714 1.2051
Co 3.8744 2.2369 1.2051
Co 5.7756 1.1392 1.2051
Co 3.8744 4.4322 1.2051
```

Output
* space-group type: P6/mmm, No. 191
* VASP energy: -6.044 eV per atom


Record 8
A plane-wave DFT calculation with GGA-PBE was carried out for Al2Co3 after structural relaxation. Values from VASP.

Cell and atoms, written as Quantum ESPRESSO input:
```
&SYSTEM
  ibrav = 0, nat = 10, ntyp = 2
/
ATOMIC_SPECIES
Al 26.98 Al.upf
Co 58.93 Co.upf
CELL_PARAMETERS angstrom
2.9719 1.7159 4.1277
-2.9719 1.7159 4.1277
0.0000 -3.4317 4.1277
ATOMIC_POSITIONS angstrom
Al 0.0000 0.0000 1.2471
Al 0.0000 0.0000 4.9444
Al 0.0000 0.0000 7.4386
Al 0.0000 0.0000 11.1359
Co -0.7384 -1.2789 3.0957
Co -0.7384 1.2789 3.0957
Co 1.4767 0.0000 3.0957
Co -1.4767 0.0000 9.2872
Co 0.7384 -1.2789 9.2872
Co 0.7384 1.2789 9.2872
```

Output
* space-group type: R-3c, No. 167
* VASP energy: -5.512 eV per atom


Record 9
A plane-wave DFT calculation with GGA-PBE was carried out for AlCo5 after structural relaxation. Values from VASP.

Cell and atoms, written as Quantum ESPRESSO input:
```
&SYSTEM
  ibrav = 0, nat = 24, ntyp = 2
/
ATOMIC_SPECIES
Al 26.98 Al.upf
Co 58.93 Co.upf
CELL_PARAMETERS angstrom
4.6030 0.0000 0.0000
-2.3015 3.9863 0.0000
0.0000 0.0000 15.1847
ATOMIC_POSITIONS angstrom
Al 0.0000 2.6576 2.3057
Al 0.0000 2.6576 5.2867
Al 2.3015 1.3288 9.8980
Al 2.3015 1.3288 12.8790
Co 0.0000 0.0000 1.3028
Co 0.0000 0.0000 6.2895
Co 0.0000 0.0000 8.8952
Co 0.0000 0.0000 13.8819
Co -1.1508 1.9932 0.0000
Co -1.1508 1.9932 7.5923
Co 0.0000 1.2844 11.3885
Co -1.1892 3.3441 11.3885
Co 1.1123 0.6422 3.7962
Co 0.0000 2.6576 9.5262
Co 0.0000 2.6576 13.2508
Co 2.3015 0.0000 0.0000
Co 2.3015 0.0000 7.5923
Co 1.1508 1.9932 0.0000
Co 1.1508 1.9932 7.5923
Co 2.3015 1.3288 1.9338
Co 2.3015 1.3288 5.6585
Co 1.1892 3.3441 11.3885
Co 3.4907 0.6422 3.7962
Co 2.3015 2.7019 3.7962
```

Output
* space-group type: P6_3/mmc, No. 194
* VASP energy: -6.537 eV per atom


Record 10
A plane-wave DFT calculation with GGA-PBE was carried out for AlCo after structural relaxation. Values from VASP.

Cell and atoms, written as Quantum ESPRESSO input:
```
&SYSTEM
  ibrav = 0, nat = 2, ntyp = 2
/
ATOMIC_SPECIES
Al 26.98 Al.upf
Co 58.93 Co.upf
CELL_PARAMETERS angstrom
2.8463 0.0000 0.0000
0.0000 2.8463 0.0000
0.0000 0.0000 2.8463
ATOMIC_POSITIONS angstrom
Al 0.0000 0.0000 0.0000
Co 1.4231 1.4231 1.4231
```

Output
* space-group type: Pm-3m, No. 221
* VASP energy: -6.032 eV per atom


Record 11
A plane-wave DFT calculation with GGA-PBE was carried out for Al4Co11 after structural relaxation. Values from VASP.

Cell and atoms, written as Quantum ESPRESSO input:
```
&SYSTEM
  ibrav = 0, nat = 30, ntyp = 2
/
ATOMIC_SPECIES
Al 26.98 Al.upf
Co 58.93 Co.upf
CELL_PARAMETERS angstrom
8.6923 0.0000 0.0000
0.0000 8.6923 0.0000
0.0000 0.0000 4.5827
ATOMIC_POSITIONS angstrom
Al 0.3607 3.1150 0.0000
Al 1.2311 4.7068 2.2913
Al 3.1150 0.3607 0.0000
Al 3.9855 7.4612 2.2913
Al 4.7068 1.2311 2.2913
Al 5.5773 8.3316 0.0000
Al 7.4612 3.9855 2.2913
Al 8.3316 5.5773 0.0000
Co 0.0000 0.0000 2.2913
Co 0.5973 2.2543 2.2913
Co 0.8059 0.8059 0.0000
Co 1.5521 7.1402 1.1417
Co 1.5521 7.1402 3.4410
Co 2.0918 4.9434 0.0000
Co 2.2543 0.5973 2.2913
Co 2.7940 2.7940 1.1497
Co 2.7940 2.7940 3.4330
Co 3.5402 5.1521 2.2913
Co 3.7489 6.6005 0.0000
Co 4.3462 4.3462 0.0000
Co 4.9434 2.0918 0.0000
Co 5.1521 3.5402 2.2913
Co 5.8983 5.8983 1.1497
Co 5.8983 5.8983 3.4330
Co 6.4380 8.0950 2.2913
Co 6.6005 3.7489 0.0000
Co 7.1402 1.5521 1.1417
Co 7.1402 1.5521 3.4410
Co 7.8864 7.8864 0.0000
Co 8.0950 6.4380 2.2913
```

Output
* space-group type: P4_2/mnm, No. 136
* VASP energy: -6.348 eV per atom


Record 12
A plane-wave DFT calculation with GGA-PBE was carried out for Al3Co2 after structural relaxation. Values from VASP.

Cell and atoms, written as Quantum ESPRESSO input:
```
&SYSTEM
  ibrav = 0, nat = 30, ntyp = 2
/
ATOMIC_SPECIES
Al 26.98 Al.upf
Co 58.93 Co.upf
CELL_PARAMETERS angstrom
8.8128 0.0000 0.0000
0.0000 8.8128 0.0000
0.0000 0.0000 4.8977
ATOMIC_POSITIONS angstrom
Al 0.0000 0.0000 0.0000
Al 0.3202 3.1843 2.4489
Al 1.2221 4.7266 0.0000
Al 1.6838 7.1290 1.2277
Al 1.6838 7.1290 3.6701
Al 2.7226 2.7226 1.2212
Al 2.7226 2.7226 3.6766
Al 3.1843 0.3202 2.4489
Al 4.0862 7.5907 0.0000
Al 4.4064 4.4064 2.4489
Al 4.7266 1.2221 0.0000
Al 5.6285 8.4926 2.4489
Al 6.0902 6.0902 1.2212
Al 6.0902 6.0902 3.6766
Al 7.1290 1.6838 1.2277
Al 7.1290 1.6838 3.6701
Al 7.5907 4.0862 0.0000
Al 8.4926 5.6285 2.4489
Co 0.5237 2.3138 0.0000
Co 0.8389 0.8389 2.4489
Co 2.0926 4.9302 2.4489
Co 2.3138 0.5237 0.0000
Co 3.5675 5.2453 0.0000
Co 3.8827 6.7202 2.4489
Co 4.9302 2.0926 2.4489
Co 5.2453 3.5675 0.0000
Co 6.4990 8.2891 0.0000
Co 6.7202 3.8827 2.4489
Co 7.9739 7.9739 2.4489
Co 8.2891 6.4990 0.0000
```

Output
* space-group type: P4_2/mnm, No. 136
* VASP energy: -5.404 eV per atom


- The lowest VASP energy belongs to which entry?
  Al5Co24


- The lowest VASP energy belongs to which entry?
  Al5Co24


What did the eleventh record say?
A plane-wave DFT calculation with GGA-PBE was carried out for Al4Co11 after structural relaxation. Values from VASP.

Cell and atoms, written as Quantum ESPRESSO input:
```
&SYSTEM
  ibrav = 0, nat = 30, ntyp = 2
/
ATOMIC_SPECIES
Al 26.98 Al.upf
Co 58.93 Co.upf
CELL_PARAMETERS angstrom
8.6923 0.0000 0.0000
0.0000 8.6923 0.0000
0.0000 0.0000 4.5827
ATOMIC_POSITIONS angstrom
Al 0.3607 3.1150 0.0000
Al 1.2311 4.7068 2.2913
Al 3.1150 0.3607 0.0000
Al 3.9855 7.4612 2.2913
Al 4.7068 1.2311 2.2913
Al 5.5773 8.3316 0.0000
Al 7.4612 3.9855 2.2913
Al 8.3316 5.5773 0.0000
Co 0.0000 0.0000 2.2913
Co 0.5973 2.2543 2.2913
Co 0.8059 0.8059 0.0000
Co 1.5521 7.1402 1.1417
Co 1.5521 7.1402 3.4410
Co 2.0918 4.9434 0.0000
Co 2.2543 0.5973 2.2913
Co 2.7940 2.7940 1.1497
Co 2.7940 2.7940 3.4330
Co 3.5402 5.1521 2.2913
Co 3.7489 6.6005 0.0000
Co 4.3462 4.3462 0.0000
Co 4.9434 2.0918 0.0000
Co 5.1521 3.5402 2.2913
Co 5.8983 5.8983 1.1497
Co 5.8983 5.8983 3.4330
Co 6.4380 8.0950 2.2913
Co 6.6005 3.7489 0.0000
Co 7.1402 1.5521 1.1417
Co 7.1402 1.5521 3.4410
Co 7.8864 7.8864 0.0000
Co 8.0950 6.4380 2.2913
```

Output
* space-group type: P4_2/mnm, No. 136
* VASP energy: -6.348 eV per atom


Repeat the sixth record exactly.
A plane-wave DFT calculation with GGA-PBE was carried out for Al2Co after structural relaxation. Values from VASP.

Cell and atoms, written as Quantum ESPRESSO input:
```
&SYSTEM
  ibrav = 0, nat = 6, ntyp = 2
/
ATOMIC_SPECIES
Al 26.98 Al.upf
Co 58.93 Co.upf
CELL_PARAMETERS angstrom
5.9771 0.0000 0.0000
0.0000 5.9771 0.0000
0.0000 0.0000 2.7185
ATOMIC_POSITIONS angstrom
Al 1.3522 1.3522 0.0000
Al 1.6364 4.3407 1.3593
Al 4.3407 1.6364 1.3593
Al 4.6249 4.6249 0.0000
Co 0.0000 0.0000 1.3593
Co 2.9885 2.9885 0.0000
```

Output
* space-group type: P4_2/mnm, No. 136
* VASP energy: -4.972 eV per atom